TmMgSb | OQMD via LeMat-Bulk | PBE | optimized geometry; volume = 30.38 Å³ per atom; E_tot = -3.5761 eV per atom
1.0
0.000 3.572 3.572
3.572 0.000 3.572
3.572 3.572 0.000
Tm Sb Mg
1 1 1
Direct
0.000 0.000 0.000
0.750 0.750 0.750
0.250 0.250 0.250